# La2Be3GaGe4 (PBE, relaxed)
# Space-group type ... P-4m2, No. 115
# Density ... 6.13 g/cm³
# M_tot ... 0.00 μB/f.u.
# Energy of formation ... -0.36 eV/atom
data_La2Be3GaGe4
_chemical_formula_sum 'La2 Be3 Ga1 Ge4'
_cell_length_a 4.3559
_cell_length_b 4.3559
_cell_length_c 9.5002
_cell_angle_alpha 90.00
_cell_angle_beta 90.00
_cell_angle_gamma 90.00
_symmetry_space_group_name_H-M 'P 1'
_symmetry_Int_Tables_number 1
loop_
_symmetry_equiv_pos_as_xyz
'x,y,z'
loop_
_atom_site_label
_atom_site_type_symbol
_atom_site_fract_x
_atom_site_fract_y
_atom_site_fract_z
La1 La 0.0000 0.5000 0.2433
La2 La 0.5000 0.0000 0.7567
Be1 Be 0.0000 0.5000 0.8841
Be2 Be 0.5000 0.0000 0.1159
Be3 Be 0.5000 0.5000 0.5000
Ga1 Ga 0.0000 0.0000 0.5000
Ge1 Ge 0.0000 0.0000 0.0000
Ge2 Ge 0.0000 0.5000 0.6388
Ge3 Ge 0.5000 0.0000 0.3612
Ge4 Ge 0.5000 0.5000 0.0000